1.
Material: Bi3PtSe
Method: DFT, PBE
State: optimized geometry

- SG = Pm-3m
- energy above the lowest structure with this stoichiometry (eV per atom) = 0.0000
- crystal system = cubic
- formation energy from raw total energies (kJ/mol of formula units) = 187

abc: 5.4355 5.4355 5.4355
angles: 90.00 90.00 90.00
Closest atoms and distances in Å follow each position.
Fractional positions:
Se 0.5000 0.5000 0.5000  12 Bi 3.84
Bi 0.0000 0.5000 0.0000  2 Pt 2.72
Bi 0.0000 0.0000 0.5000  2 Pt 2.72
Bi 0.5000 0.0000 0.0000  2 Pt 2.72
Pt 0.0000 0.0000 0.0000  6 Bi 2.72

=====

2.
Material: ZrNbSe2N
Method: DFT, PBE
State: optimized geometry

- SG = P4/mmm
- energy above the lowest structure with this stoichiometry (eV per atom) = 0.0000
- crystal system = tetragonal
- formation energy from raw total energies (kJ/mol of formula units) = -88

abc: 5.1367 5.1367 3.8673
angles: 90.00 90.00 90.00
Closest atoms and distances in Å follow each position.
Fractional positions:
Nb 0.0000 0.0000 0.0000  2 N 1.93
Se 0.0000 0.5000 0.0000  2 Nb 2.57
Se 0.5000 0.0000 0.0000  2 Nb 2.57
Zr 0.5000 0.5000 0.5000  8 Se 3.21
N 0.0000 0.0000 0.5000  2 Nb 1.93

=====

3.
Material: Pu8CuPt5
Method: DFT, PBE
State: optimized geometry

- SG = I-4
- energy relative to the elements (eV per formula unit) = -7.6
- crystal system = tetragonal

abc: 7.5476 7.5476 7.5476
angles: 109.35 109.71 109.35
Closest atoms and distances in Å follow each position.
Fractional positions:
Pu 0.1240 0.7504 0.0192  5 Pt 2.90-3.13, 1 Cu 2.92
Pu 0.9808 0.1047 0.7311  5 Pt 2.90-3.13, 1 Cu 2.92
Pu 0.7659 0.2494 0.3742  5 Pt 2.90-3.15, 1 Cu 3.14
Pu 0.6258 0.3917 0.8751  5 Pt 2.90-3.15, 1 Cu 3.14
Pu 0.4835 0.6083 0.2341  5 Pt 2.90-3.15, 1 Cu 3.14
Pu 0.6264 0.8953 0.8760  5 Pt 2.90-3.13, 1 Cu 2.92
Pu 0.2689 0.2496 0.3736  5 Pt 2.90-3.13, 1 Cu 2.92
Pu 0.1249 0.7506 0.5165  5 Pt 2.90-3.15, 1 Cu 3.14
Cu 0.2500 0.5000 0.7500  8 Pu 2.92-3.14
Pt 0.0019 0.3754 0.1249  8 Pu 2.90-3.15
Pt 0.8751 0.8771 0.2506  8 Pu 2.90-3.15
Pt 0.7494 0.6246 0.6265  8 Pu 2.90-3.15
Pt 0.5000 0.0000 0.5000  8 Pu 2.90-3.12
Pt 0.3735 0.1229 0.9981  8 Pu 2.90-3.15

=====

4.
Material: DyHo5Tm5
Method: DFT, PBE
State: optimized geometry

- SG = C2/m
- energy relative to the elements (eV per formula unit) = 3.2
- energy above the lowest structure with this stoichiometry (eV per atom) = 0.1426
- crystal system = monoclinic

abc: 5.8262 9.7593 6.8498
angles: 110.27 90.00 107.37
Closest atoms and distances in Å follow each position.
Fractional positions:
Dy 0.0000 0.0000 0.0000  2 Ho 2.91
Ho 0.8212 0.6424 0.0665  5 Tm 3.17-3.52, 2 Ho 3.37-3.48, 1 Dy 3.52
Ho 0.8211 0.6421 0.5751  5 Tm 3.16-3.53, 2 Ho 3.37-3.48, 1 Dy 3.54
Ho 0.5000 0.0000 0.0000  2 Dy 2.91, 2 Tm 2.93
Ho 0.1789 0.3579 0.4249  5 Tm 3.16-3.53, 2 Ho 3.37-3.48, 1 Dy 3.54
Ho 0.1788 0.3576 0.9335  5 Tm 3.17-3.52, 2 Ho 3.37-3.48, 1 Dy 3.52
Tm 0.6689 0.3378 0.1704  3 Ho 2.93-3.17
Tm 0.6236 0.2471 0.6254  4 Tm 3.51-3.62, 6 Ho 3.52-3.82
Tm 0.0000 0.0000 0.5000  2 Dy 3.42, 4 Ho 3.55-3.57, 4 Tm 3.62
Tm 0.3764 0.7529 0.3746  4 Tm 3.51-3.62, 6 Ho 3.52-3.82
Tm 0.3311 0.6622 0.8296  3 Ho 2.93-3.17

=====

5.
Material: SrGaSiPt3
Method: DFT, PBE
State: optimized geometry

- SG = Cmcm
- crystal system = orthorhombic
- formation energy from raw total energies (kJ/mol of formula units) = -445

abc: 5.7999 5.7924 8.2025
angles: 110.68 90.00 90.00
Closest atoms and distances in Å follow each position.
Fractional positions:
Sr 0.7500 0.2921 0.5843  4 Pt 2.93-3.02
Sr 0.2500 0.7079 0.4157  4 Pt 2.93-3.02
Ga 0.2500 0.3980 0.7960  5 Pt 2.48-2.58
Ga 0.7500 0.6020 0.2040  5 Pt 2.48-2.58
Si 0.2500 0.0845 0.1690  5 Pt 2.33-2.43
Si 0.7500 0.9155 0.8310  5 Pt 2.33-2.43
Pt 0.2500 0.2365 0.4731  1 Si 2.33, 1 Ga 2.48
Pt 0.0000 0.2500 0.0000  2 Si 2.43, 2 Ga 2.58
Pt 0.5000 0.7500 0.0000  2 Si 2.43, 2 Ga 2.58
Pt 0.5000 0.2500 0.0000  2 Si 2.43, 2 Ga 2.58
Pt 0.0000 0.7500 0.0000  2 Si 2.43, 2 Ga 2.58
Pt 0.7500 0.7635 0.5269  1 Si 2.33, 1 Ga 2.48

=====

6.
Material: Pm3Nd3Y8
Method: DFT, PBE
State: optimized geometry

- SG = Immm
- energy relative to the elements (eV per formula unit) = 1.6
- energy above the lowest structure with this stoichiometry (eV per atom) = 0.0036
- crystal system = orthorhombic

abc: 5.7385 9.8238 9.8238
angles: 103.08 72.98 72.98
Closest atoms and distances in Å follow each position.
Fractional positions:
Pm 0.5000 0.0000 0.0000  4 Nd 3.55-3.56
Pm 0.0000 0.8135 0.1865  2 Nd 3.56, 8 Y 3.65-3.69
Pm 0.0000 0.1865 0.8135  2 Nd 3.56, 8 Y 3.65-3.69
Nd 0.5000 0.5000 0.5000  2 Nd 3.29
Nd 0.8057 0.1950 0.1950  1 Nd 3.29, 4 Pm 3.55-3.56, 4 Y 3.62-3.63
Nd 0.1943 0.8050 0.8050  1 Nd 3.29, 4 Pm 3.55-3.56, 4 Y 3.62-3.63
Y 0.6610 0.1191 0.5590  6 Y 3.34-3.58, 3 Pm 3.65-3.69, 1 Nd 3.72
Y 0.3390 0.8809 0.4410  6 Y 3.34-3.58, 3 Pm 3.65-3.69, 1 Nd 3.72
Y 0.6610 0.5590 0.1191  6 Y 3.34-3.58, 3 Pm 3.65-3.69, 1 Nd 3.72
Y 0.3390 0.4410 0.8809  6 Y 3.34-3.58, 3 Pm 3.65-3.69, 1 Nd 3.72
Y 0.8391 0.7634 0.5583  5 Y 3.15-3.47
Y 0.1609 0.2366 0.4417  5 Y 3.15-3.47
Y 0.8391 0.5583 0.7634  5 Y 3.15-3.47
Y 0.1609 0.4417 0.2366  5 Y 3.15-3.47

=====

7.
Material: AgHg2Br2O
Method: DFT, PBE
State: optimized geometry

- SG = Cmcm
- crystal system = orthorhombic
- formation energy from raw total energies (kJ/mol of formula units) = -103

abc: 6.9835 6.8762 7.7604
angles: 116.30 90.00 90.00
Closest atoms and distances in Å follow each position.
Fractional positions:
Ag 0.4538 0.0000 0.0000  2 O 2.23
Ag 0.9538 0.0000 0.0000  2 O 2.23
Hg 0.7039 0.8345 0.2961  1 O 2.20
Hg 0.7039 0.5383 0.7039  1 O 2.20
Hg 0.2039 0.4617 0.2961  1 O 2.20
Hg 0.2039 0.1655 0.7039  1 O 2.20
Br 0.2039 0.9132 0.3168  2 Hg 2.72-3.04
Br 0.2039 0.5964 0.6832  2 Hg 2.72-3.04
Br 0.7039 0.0868 0.6832  2 Hg 2.72-3.04
Br 0.7039 0.4036 0.3168  2 Hg 2.72-3.04
O 0.7039 0.7988 0.0000  2 Hg 2.20, 2 Ag 2.23
O 0.2039 0.2012 0.0000  2 Hg 2.20, 2 Ag 2.23

=====

8.
Material: Ca2ZrSi
Method: DFT, PBE
State: optimized geometry

- SG = F-43m
- crystal system = cubic
- formation energy from raw total energies (kJ/mol of formula units) = 72

abc: 5.1123 5.1123 5.1123
angles: 60.00 60.00 60.00
Closest atoms and distances in Å follow each position.
Fractional positions:
Ca 0.0000 0.0000 0.0000  4 Zr 3.13, 4 Ca 3.13
Ca 0.2500 0.2500 0.2500  4 Ca 3.13, 4 Si 3.13
Si 0.5000 0.5000 0.5000  4 Ca 3.13, 4 Zr 3.13
Zr 0.7500 0.7500 0.7500  4 Si 3.13, 4 Ca 3.13

=====

| no. | magnetization (Bohr magnetons per cell) | D(E_F) (states/eV/atom) | calculated volume (Å³ per atom) |
| --- | --- | --- | --- |
| 1 | 0.0 | 1.09 | 32.12 |
| 2 | 0.6 | 0.71 | 20.41 |
| 3 | 45.3 | 4.71 | 23.64 |
| 4 | 0.8 | 1.60 | 31.49 |
| 5 | 0.0 | 0.36 | 21.48 |
| 6 | 0.0 | 1.70 | 34.00 |
| 7 | 0.0 | 0.45 | 27.84 |
| 8 | 1.0 | 1.32 | 23.62 |